1.
DFT (GGA-PBE) results for an optimized crystal structure of PmNdHgAu.

Results
**Offset from the most stable computed form**: 0 meV per atom
**DFT total energy**: -3.90 eV per atom
**Theoretical density**: 10.7 g/cm³
**N(E_F)**: 3.492 states/eV per cell
**ΔH_f (0 K)**: -60 kJ/mol of atoms
**Space group**: P4mm, No. 99

abc: 3.7651 3.7651 7.5332
angles: 90.00 90.00 90.00
Fractional positions:
Pm  0.5000  0.5000  0.1192
Au  0.0000  0.0000  0.3524
Hg  0.0000  0.0000  0.8601
Nd  0.5000  0.5000  0.5962



2.
DFT (GGA-PBE) results for an optimized crystal structure of PmNdHgAu.

Results
**Offset from the most stable computed form**: 13 meV per atom
**DFT total energy**: -3.88 eV per atom
**Theoretical density**: 10.7 g/cm³
**N(E_F)**: 3.053 states/eV per cell
**ΔH_f (0 K)**: -59 kJ/mol of atoms
**Space group**: F-43m, No. 216

abc: 5.3218 5.3218 5.3218
angles: 60.00 60.00 60.00
Fractional positions:
Au  0.0000  0.0000  0.0000
Hg  0.5000  0.5000  0.5000
Nd  0.2500  0.2500  0.2500
Pm  0.7500  0.7500  0.7500



3.
DFT (GGA-PBE) results for an optimized crystal structure of Nd5Hg2Rh2Au.

Results
**DFT total energy**: -4.80 eV per atom
**Theoretical density**: 9.4 g/cm³
**N(E_F)**: 14.887 states/eV per cell
**ΔH_f (0 K)**: -54 kJ/mol of atoms
**Space group**: P4/mbm, No. 127

abc: 3.7878 11.9067 11.9067
angles: 90.00 90.00 90.00
Fractional positions:
Rh  0.0000  0.8681  0.3681
Rh  0.0000  0.3681  0.1319
Rh  0.0000  0.6319  0.8681
Rh  0.0000  0.1319  0.6319
Nd  0.5000  0.4135  0.3028
Nd  0.5000  0.5000  0.0000
Nd  0.5000  0.0865  0.8028
Nd  0.5000  0.6972  0.4135
Nd  0.5000  0.5865  0.6972
Nd  0.5000  0.3028  0.5865
Nd  0.5000  0.8028  0.9135
Nd  0.5000  0.0000  0.5000
Nd  0.5000  0.1972  0.0865
Nd  0.5000  0.9135  0.1972
Hg  0.0000  0.1712  0.3288
Hg  0.0000  0.3288  0.8288
Hg  0.0000  0.6712  0.1712
Hg  0.0000  0.8288  0.6712
Au  0.0000  0.5000  0.5000
Au  0.0000  0.0000  0.0000



4.
DFT (GGA-PBE) results for an optimized crystal structure of NdHgSbAu.

Results
**DFT total energy**: -3.59 eV per atom
**Theoretical density**: 11.0 g/cm³
**N(E_F)**: 2.134 states/eV per cell
**Space group**: F-43m, No. 216

abc: 5.2093 5.2093 5.2093
angles: 60.00 60.00 60.00
Fractional positions:
Hg  0.5000  0.5000  0.5000
Sb  0.2500  0.2500  0.2500
Au  0.0000  0.0000  0.0000
Nd  0.7500  0.7500  0.7500



5.
DFT (GGA-PBE) results for an optimized crystal structure of NdScHgAu.

Results
**DFT total energy**: -4.23 eV per atom
**Theoretical density**: 10.1 g/cm³
**N(E_F)**: 4.641 states/eV per cell
**ΔH_f (0 K)**: -54 kJ/mol of atoms
**Space group**: F-43m, No. 216

abc: 5.1444 5.1444 5.1444
angles: 60.00 60.00 60.00
Fractional positions:
Sc  0.0000  0.0000  0.0000
Nd  0.5000  0.5000  0.5000
Hg  0.2500  0.2500  0.2500
Au  0.7500  0.7500  0.7500



6.
DFT (GGA-PBE) results for an optimized crystal structure of SrNdHgAu.

Results
**Offset from the most stable computed form**: 0 meV per atom
**DFT total energy**: -3.14 eV per atom
**Theoretical density**: 9.1 g/cm³
**N(E_F)**: 2.844 states/eV per cell
**ΔH_f (0 K)**: -61 kJ/mol of atoms
**Space group**: P4mm, No. 99

abc: 3.8395 3.8395 7.7629
angles: 90.00 90.00 90.00
Fractional positions:
Sr  0.0000  0.0000  0.3644
Nd  0.0000  0.0000  0.8405
Au  0.5000  0.5000  0.6361
Hg  0.5000  0.5000  0.0870



7.
DFT (GGA-PBE) results for an optimized crystal structure of SrNdHgAu.

Results
**Offset from the most stable computed form**: 47 meV per atom
**DFT total energy**: -3.09 eV per atom
**Theoretical density**: 9.3 g/cm³
**N(E_F)**: 3.513 states/eV per cell
**ΔH_f (0 K)**: -56 kJ/mol of atoms
**Space group**: F-43m, No. 216

abc: 5.4214 5.4214 5.4214
angles: 60.00 60.00 60.00
Fractional positions:
Hg  0.5000  0.5000  0.5000
Sr  0.2500  0.2500  0.2500
Nd  0.7500  0.7500  0.7500
Au  0.0000  0.0000  0.0000



8.
DFT (GGA-PBE) results for an optimized crystal structure of NdThHgAu.

Results
**Offset from the most stable computed form**: 0 meV per atom
**DFT total energy**: -4.43 eV per atom
**Theoretical density**: 11.9 g/cm³
**N(E_F)**: 4.535 states/eV per cell
**ΔH_f (0 K)**: -47 kJ/mol of atoms
**Space group**: P4mm, No. 99

abc: 3.7476 3.7476 7.6568
angles: 90.00 90.00 90.00
Fractional positions:
Au  0.0000  0.0000  0.3565
Hg  0.0000  0.0000  0.8552
Nd  0.5000  0.5000  0.5969
Th  0.5000  0.5000  0.1194



9.
DFT (GGA-PBE) results for an optimized crystal structure of NdThHgAu.

Results
**Offset from the most stable computed form**: 31 meV per atom
**DFT total energy**: -4.40 eV per atom
**Theoretical density**: 12.0 g/cm³
**N(E_F)**: 4.267 states/eV per cell
**ΔH_f (0 K)**: -44 kJ/mol of atoms
**Space group**: F-43m, No. 216

abc: 5.3345 5.3345 5.3345
angles: 60.00 60.00 60.00
Fractional positions:
Th  0.2500  0.2500  0.2500
Nd  0.7500  0.7500  0.7500
Au  0.5000  0.5000  0.5000
Hg  0.0000  0.0000  0.0000



10.
DFT (GGA-PBE) results for an optimized crystal structure of Nd4Tl2HgAu.

Results
**DFT total energy**: -3.90 eV per atom
**Theoretical density**: 10.1 g/cm³
**N(E_F)**: 9.244 states/eV per cell
**ΔH_f (0 K)**: -46 kJ/mol of atoms
**Space group**: R-3m, No. 166

abc: 5.4478 5.4478 9.4304
angles: 73.21 73.21 60.00
Fractional positions:
Nd  0.3791  0.3791  0.8627
Nd  0.6209  0.6209  0.1373
Nd  0.8713  0.8713  0.3860
Nd  0.1287  0.1287  0.6140
Hg  0.0000  0.0000  0.0000
Tl  0.7466  0.7466  0.7602
Tl  0.2534  0.2534  0.2398
Au  0.5000  0.5000  0.5000



11.
DFT (GGA-PBE) results for an optimized crystal structure of Nd4TlHgAu2.

Results
**DFT total energy**: -4.10 eV per atom
**Theoretical density**: 10.4 g/cm³
**N(E_F)**: 8.568 states/eV per cell
**ΔH_f (0 K)**: -54 kJ/mol of atoms
**Space group**: R-3m, No. 166

abc: 5.3722 5.3722 9.3000
angles: 73.21 73.21 60.00
Fractional positions:
Hg  0.5000  0.5000  0.5000
Au  0.2528  0.2528  0.2416
Au  0.7472  0.7472  0.7584
Nd  0.8727  0.8727  0.3818
Nd  0.1273  0.1273  0.6182
Nd  0.6227  0.6227  0.1320
Nd  0.3773  0.3773  0.8680
Tl  0.0000  0.0000  0.0000



12.
DFT (GGA-PBE) results for an optimized crystal structure of NdTmHgAu.

Results
**Offset from the most stable computed form**: 0 meV per atom
**DFT total energy**: -3.85 eV per atom
**Theoretical density**: 11.7 g/cm³
**N(E_F)**: 3.985 states/eV per cell
**ΔH_f (0 K)**: -63 kJ/mol of atoms
**Space group**: P4mm, No. 99

abc: 3.6682 3.6682 7.4983
angles: 90.00 90.00 90.00
Fractional positions:
Au  0.0000  0.0000  0.3860
Nd  0.5000  0.5000  0.1142
Tm  0.5000  0.5000  0.5913
Hg  0.0000  0.0000  0.8365



13.
DFT (GGA-PBE) results for an optimized crystal structure of NdTmHgAu.

Results
**Offset from the most stable computed form**: 27 meV per atom
**DFT total energy**: -3.83 eV per atom
**Theoretical density**: 11.7 g/cm³
**N(E_F)**: 3.715 states/eV per cell
**ΔH_f (0 K)**: -60 kJ/mol of atoms
**Space group**: F-43m, No. 216

abc: 5.2319 5.2319 5.2319
angles: 60.00 60.00 60.00
Fractional positions:
Nd  0.2500  0.2500  0.2500
Tm  0.7500  0.7500  0.7500
Hg  0.5000  0.5000  0.5000
Au  0.0000  0.0000  0.0000